## Sr4TlFe2O9 (GGA+U)

Data for a geometry-optimized Sr4TlFe2O9 structure.

Geometry as POSCAR:
```
Sr4TlFe2O9
1.0
-9.910 11.235 4.401
-11.069 10.983 0.745
-2.874 -2.303 1.099
O Sr Tl Fe
9 4 1 2
Cartesian
-7.907 7.609 1.994
-6.730 2.921 1.959
-19.724 20.561 4.822
-17.122 16.995 4.281
-19.831 17.568 5.118
-15.949 12.304 4.248
-11.858 10.039 2.933
-4.019 2.349 1.128
-4.095 -0.606 1.329
-15.646 14.996 3.953
-13.408 11.961 3.457
-10.448 7.951 2.795
-8.206 4.920 2.290
-11.122 10.919 0.892
-18.286 18.571 4.542
-5.566 1.345 1.699
```

Uncorrected energy, eV/atom: -6.089
Magnetic moment, Bohr magnetons per cell: 9.02
N(E_F), states/eV per atom: 0.151